Here is a relaxed KLa2In crystal from Alexandria via LeMat-Bulk. Energies are from PBE.

a b c (Å): 4.8821 5.1526 11.0560
angles (deg): 90.00 90.00 90.00
Closest atoms and distances in Å follow each position.
Space group Imm2 (No. 44)
Asymmetric unit:
K 0.0000 0.0000 0.0000 x2  8 La 3.55-3.78, 4 In 3.67-3.80
La 0.0000 0.0000 0.5168 x2  4 K 3.55, 4 In 3.57-3.90, 4 La 3.73-3.74
La 0.0000 0.5000 0.7609 x2  4 In 3.55, 4 K 3.69-3.78, 4 La 3.73-3.74
In 0.0000 0.5000 0.2523 x2  8 La 3.55-3.90, 4 K 3.67-3.80

DOS(E_F), states/eV per atom: 0.858
Electronic total energy, eV/cell: -26.6

---

Here is a relaxed K2LaIn crystal from Alexandria via LeMat-Bulk. Energies are from PBE.

a b c (Å): 7.0410 14.0228 3.8841
angles (deg): 90.00 122.03 90.00
Closest atoms and distances in Å follow each position.
Space group C2/m (No. 12)
Asymmetric unit:
K 0.2500 0.2500 0.0000 x4  6 K 3.52-3.88, 2 La 3.94, 2 In 3.94
La 0.0000 0.0000 0.5000 x2  4 In 3.52-3.60, 2 La 3.88, 4 K 3.94
In 0.0000 0.5000 0.5000 x2  4 La 3.52-3.60, 2 In 3.88, 4 K 3.94

DOS(E_F), states/eV per atom: 1.049
Electronic total energy, eV/cell: -18.3